Record 1
# ReTc2W PBE-GGA optimized geometry
# Energy of formation, eV/atom: 0.13
# Crystal system: monoclinic
# Distance to the lowest polymorph of the same formula, meV/atom: 20
data_ReTc2W
_cell_length_a 2.7253
_cell_length_b 4.3192
_cell_length_c 5.3104
_cell_angle_alpha 90.00
_cell_angle_beta 103.16
_cell_angle_gamma 90.00
_space_group_name_H-M_alt 'P 1 m 1'
_space_group_IT_number 6
_space_group_name_Hall 'P -2y'
loop_
_atom_site_label
_atom_site_type_symbol
_atom_site_fract_x
_atom_site_fract_y
_atom_site_fract_z
_atom_site_occupancy
Re1 Re 0.0000 0.0000 0.0000 1
Tc1 Tc 0.3581 0.0000 0.4981 1
Tc2 Tc 0.6958 0.5000 0.2460 1
W1 W 0.1811 0.5000 0.7459 1

Record 2
# La2WSe PBE-GGA optimized geometry
# Formation energy without anion corrections, eV/atom: -0.287
# Crystal system: monoclinic
# Distance to the lowest polymorph of the same formula, meV/atom: 0
data_La2WSe
_cell_length_a 4.0970
_cell_length_b 4.5337
_cell_length_c 5.9375
_cell_angle_alpha 90.00
_cell_angle_beta 110.06
_cell_angle_gamma 90.00
_space_group_name_H-M_alt 'P 1 m 1'
_space_group_IT_number 6
_space_group_name_Hall 'P -2y'
loop_
_atom_site_label
_atom_site_type_symbol
_atom_site_fract_x
_atom_site_fract_y
_atom_site_fract_z
_atom_site_occupancy
La1 La 0.0000 0.0000 0.0000 1
La2 La 0.2782 0.5000 0.5598 1
W1 W 0.7110 0.0000 0.4262 1
Se1 Se 0.5703 0.5000 0.1414 1

Record 3
# InCS2Cl PBE-GGA optimized geometry
# Formation energy without anion corrections, eV/atom: 1.645
# Crystal system: tetragonal
# Distance to the lowest polymorph of the same formula, meV/atom: 858
data_InCS2Cl
_cell_length_a 4.9919
_cell_length_b 4.9919
_cell_length_c 4.8914
_cell_angle_alpha 90.00
_cell_angle_beta 90.00
_cell_angle_gamma 90.00
_space_group_name_H-M_alt 'P 4/m m m'
_space_group_IT_number 123
_space_group_name_Hall '-P 4 2'
loop_
_atom_site_label
_atom_site_type_symbol
_atom_site_fract_x
_atom_site_fract_y
_atom_site_fract_z
_atom_site_occupancy
In1 In 0.0000 0.0000 0.0000 1
C1 C 0.5000 0.5000 0.5000 1
S1 S 0.0000 0.5000 0.0000 1
Cl1 Cl 0.0000 0.0000 0.5000 1

What is the distance to the lowest polymorph of the same formula in the first record? 20 meV/atom

Look up the distance to the lowest polymorph of the same formula of the third one. 858 meV/atom

Which of these has the lowest distance to the lowest polymorph of the same formula? La2WSe